Entry 1:
# LiCd2SbAs

A relaxed structure of LiCd2SbAs (PBE-GGA, Alexandria).

Computed properties:
**Total magnetic moment**: 0.0 μB per formula unit
**Final energy**: -2.418 eV per atom
**Uncorrected formation energy**: 0.0847 eV/atom

abc: 5.288 5.288 4.656
angles: 90.00 90.00 90.00
Positions (direct):
Li1 0.000 0.000 0.000
Cd1 0.000 0.500 0.500
Cd2 0.500 0.000 0.500
Sb1 0.500 0.500 0.000
As1 0.000 0.000 0.500

***

Entry 2:
# LiCdAsSe2

A relaxed structure of LiCdAsSe2 (PBE-GGA, Alexandria).

Computed properties:
**Total magnetic moment**: 0.0 μB per formula unit
**Final energy**: -2.650 eV per atom
**Excess energy over the best structure of this formula in the dataset**: 0.000 eV per atom
**Uncorrected formation energy**: 0.2392 eV/atom

abc: 4.888 4.888 4.475
angles: 90.00 90.00 90.00
Positions (direct):
Li1 0.000 0.000 0.000
Cd1 0.500 0.500 0.500
As1 0.000 0.000 0.500
Se1 0.000 0.500 0.000
Se2 0.500 0.000 0.000

***

Question: Look up the uncorrected formation energy of the first one.
Answer: 0.0847 eV/atom

***

Please write out number 1 again, unchanged.
# LiCd2SbAs

A relaxed structure of LiCd2SbAs (PBE-GGA, Alexandria).

Computed properties:
**Total magnetic moment**: 0.0 μB per formula unit
**Final energy**: -2.418 eV per atom
**Uncorrected formation energy**: 0.0847 eV/atom

abc: 5.288 5.288 4.656
angles: 90.00 90.00 90.00
Positions (direct):
Li1 0.000 0.000 0.000
Cd1 0.000 0.500 0.500
Cd2 0.500 0.000 0.500
Sb1 0.500 0.500 0.000
As1 0.000 0.000 0.500